[1]
The following is a PBE calculation of crystalline Pr8Tm3Sc2 at its relaxed geometry, from Alexandria via LeMat-Bulk.

It has space group Cmmm (No. 65), with a = 7.822 Å, b = 19.828 Å, c = 5.711 Å, α = 90.00°, β = 90.00° and γ = 90.00°. The inequivalent atoms are Pr at (0.000, 0.130, 0.000), Pr at (0.000, 0.320, 0.000), Pr at (0.203, 0.391, 0.500), Tm at (0.000, 0.000, 0.500), Tm at (0.212, 0.500, 0.000) and Sc at (0.000, 0.238, 0.500).

The density of states at the Fermi level is 34.737 states/eV per cell. The excess energy over the best structure of this formula in the dataset comes out at 0.000 eV per atom. Its magnetic moment is 0.00 μB per formula unit.

[2]
The following is a PBE calculation of crystalline Pr7TmSc2 at its relaxed geometry, from Alexandria via LeMat-Bulk.

It has space group Cmmm (No. 65), with a = 9.087 Å, b = 15.607 Å, c = 5.609 Å, α = 90.00°, β = 90.00° and γ = 90.00°. The inequivalent atoms are Pr at (0.000, 0.000, 0.000), Pr at (0.000, 0.252, 0.500), Pr at (0.183, 0.379, 0.000), Tm at (0.000, 0.500, 0.500) and Sc at (0.000, 0.203, 0.000).

The density of states at the Fermi level is 28.744 states/eV per cell. As for the total energy: -4.47 eV per atom. Its magnetic moment is 0.00 μB per formula unit.

[3]
The following is a PBE calculation of crystalline Pr3Tm8Sc at its relaxed geometry, from Alexandria via LeMat-Bulk.

It has space group I-42m (No. 121), with a = 8.696 Å, b = 8.696 Å, c = 11.204 Å, α = 90.00°, β = 90.00° and γ = 90.00°. The inequivalent atoms are Pr at (0.000, 0.000, 0.000), Pr at (0.000, 0.500, 0.250), Tm at (0.125, 0.125, 0.263), Tm at (0.232, 0.232, 0.528) and Sc at (0.000, 0.000, 0.500).

The density of states at the Fermi level is 36.189 states/eV per cell. As for the total energy: -4.10 eV per atom. Its magnetic moment is 0.00 μB per formula unit.

[4]
The following is a PBE calculation of crystalline Pr9TmSc2 at its relaxed geometry, from Alexandria via LeMat-Bulk.

It has space group P4/mmm (No. 123), with a = 5.112 Å, b = 5.112 Å, c = 15.345 Å, α = 90.00°, β = 90.00° and γ = 90.00°. The inequivalent atoms are Pr at (0.000, 0.000, 0.000), Pr at (0.000, 0.000, 0.335), Pr at (0.000, 0.500, 0.170), Pr at (0.000, 0.500, 0.500), Tm at (0.500, 0.500, 0.000) and Sc at (0.500, 0.500, 0.335).

The density of states at the Fermi level is 15.876 states/eV per cell. As for the total energy: -4.98 eV per atom. Its magnetic moment is 0.00 μB per formula unit.

[5]
The following is a PBE calculation of crystalline Pr4Tm6Sc at its relaxed geometry, from Alexandria via LeMat-Bulk.

It has space group I-42m (No. 121), with a = 6.599 Å, b = 6.599 Å, c = 16.890 Å, α = 90.00°, β = 90.00° and γ = 90.00°. The inequivalent atoms are Pr at (0.188, 0.188, 0.326), Tm at (0.000, 0.500, 0.000), Tm at (0.178, 0.178, 0.123) and Sc at (0.000, 0.000, 0.500).

The density of states at the Fermi level is 27.227 states/eV per cell. As for the total energy: -4.46 eV per atom. Its magnetic moment is 0.00 μB per formula unit.

[6]
The following is a PBE calculation of crystalline PrTm5Sc4 at its relaxed geometry, from Alexandria via LeMat-Bulk.

It has space group Pmmn (No. 59, origin choice 2), with a = 10.036 Å, b = 11.098 Å, c = 5.360 Å, α = 90.00°, β = 90.00° and γ = 90.00°. The inequivalent atoms are Pr at (0.250, 0.250, 0.249), Tm at (0.050, 0.048, 0.250), Tm at (0.250, 0.750, 0.751), Sc at (0.001, 0.750, 0.250) and Sc at (0.250, 0.055, 0.750).

The density of states at the Fermi level is 31.077 states/eV per cell. The excess energy over the best structure of this formula in the dataset comes out at 0.000 eV per atom. Its magnetic moment is 0.00 μB per formula unit.